Here is a PBEsol-optimized structure of Tc2AgW2 from Alexandria via LeMat-Bulk. Energies are from SCAN.

Lattice parameters (Å, degrees): 4.1029 4.1029 6.1424 109.51 109.51 90.00
Last column: nearest neighbours and their distance in Å.
Sites, in units of the cell vectors:
Tc: 0.2500 0.7500 0.5000  4 W 2.47
W: 0.6224 0.6224 0.2448  4 Tc 2.47, 1 W 2.65
Tc: 0.7500 0.2500 0.5000  4 W 2.47
Ag: 0.0000 0.0000 0.0000  8 W 3.19, 8 Tc 3.40
W: 0.3776 0.3776 0.7552  4 Tc 2.47, 1 W 2.65

Output
DOS at the Fermi energy, states/eV/f.u.: 4.47
Crystal system: tetragonal
Space-group type: I4/mmm (139)
Magnetization, μB per cell: 0.00
Final energy, eV per cell: -237.0